1.
Material: CsAgICl
Method: DFT, PBE-GGA
State: relaxed

a = 5.2288 Å, b = 5.9177 Å, c = 9.6469 Å
α = 90.00°, β = 90.00°, γ = 90.00°
Closest atoms and distances in Å follow each position.
Space group Amm2 (No. 38)
Asymmetric unit:
1 Cs 0.0000 0.0000 0.0000 (multiplicity 2)  3 Cl 3.28-3.34
2 Ag 0.5000 0.0000 0.6269 (multiplicity 2)  2 Cl 2.63, 1 I 2.95
3 I 0.5000 0.0000 0.3213 (multiplicity 2)  1 Ag 2.95
4 Cl 0.0000 0.0000 0.6597 (multiplicity 2)  2 Ag 2.63

Properties
Its crystal system is orthorhombic.

2.
Material: CsAgICl6
Method: DFT, PBE-GGA
State: relaxed

a = 6.6479 Å, b = 7.6475 Å, c = 7.6995 Å
α = 98.92°, β = 99.69°, γ = 99.95°
Closest atoms and distances in Å follow each position.
Space group P1 (No. 1)
Asymmetric unit:
1 Cs 0.0000 0.0000 0.0000 (multiplicity 1)  6 Cl 3.43-3.69
2 Ag 0.5014 0.3006 0.6985 (multiplicity 1)  4 Cl 2.40-2.55
3 I 0.5007 0.6356 0.3641 (multiplicity 1)  4 Cl 2.45-2.64
4 Cl 0.2736 0.6287 0.0755 (multiplicity 1)  1 I 2.45
5 Cl 0.2823 0.3256 0.4008 (multiplicity 1)  1 Ag 2.55, 1 I 2.64
6 Cl 0.3062 0.0020 0.6828 (multiplicity 1)  1 Ag 2.40
7 Cl 0.6964 0.3201 0.9953 (multiplicity 1)  1 Ag 2.40
8 Cl 0.7206 0.5999 0.6709 (multiplicity 1)  1 Ag 2.55, 1 I 2.64
9 Cl 0.7262 0.9276 0.3694 (multiplicity 1)  1 I 2.46

Properties
Its crystal system is triclinic.

3.
Material: Cs3InAg2Cl9
Method: DFT, PBE-GGA
State: relaxed

a = 7.4747 Å, b = 7.4747 Å, c = 9.2011 Å
α = 90.00°, β = 90.00°, γ = 120.00°
Closest atoms and distances in Å follow each position.
Space group P-3m1 (No. 164)
Asymmetric unit:
1 Cs 0.0000 0.0000 0.0000 (multiplicity 1)  12 Cl 3.74-3.77
2 Cs 0.3333 0.6667 0.6750 (multiplicity 2)  12 Cl 3.69-3.80
3 In 0.0000 0.0000 0.5000 (multiplicity 1)  6 Cl 2.57
4 Ag 0.3333 0.6667 0.1569 (multiplicity 2)  6 Cl 2.60-2.78
5 Cl 0.0000 0.5000 0.0000 (multiplicity 3)  2 Ag 2.60
6 Cl 0.1624 0.3248 0.3399 (multiplicity 6)  1 In 2.57, 1 Ag 2.78

Properties
Its crystal system is trigonal.

4.
Material: CsAgIrCl6
Method: DFT, PBE-GGA
State: relaxed

a = 6.7844 Å, b = 6.7844 Å, c = 7.5756 Å
α = 90.00°, β = 90.00°, γ = 120.00°
Closest atoms and distances in Å follow each position.
Space group P312 (No. 149)
Asymmetric unit:
1 Cs 0.0000 0.0000 0.0000 (multiplicity 1)  6 Cl 3.50
2 Ag 0.3333 0.6667 0.5000 (multiplicity 1)  6 Cl 2.74
3 Ir 0.6667 0.3333 0.5000 (multiplicity 1)  6 Cl 2.35
4 Cl 0.3889 0.0440 0.6770 (multiplicity 6)  1 Ir 2.35

Properties
Its crystal system is trigonal.

5.
Material: CsKAgCl3
Method: DFT, PBE-GGA
State: relaxed

a = 9.6790 Å, b = 4.5203 Å, c = 10.2121 Å
α = 90.00°, β = 102.99°, γ = 90.00°
Closest atoms and distances in Å follow each position.
Space group P2_1/m (No. 11)
Asymmetric unit:
1 Cs 0.1900 0.2500 0.2159 (multiplicity 2)  5 Cl 3.41-3.64
2 K 0.3481 0.7500 0.8488 (multiplicity 2)  6 Cl 3.11-3.39
3 Ag 0.0940 0.2500 0.5985 (multiplicity 2)  4 Cl 2.55-2.73
4 Cl 0.1076 0.2500 0.8505 (multiplicity 2)  1 Ag 2.55
5 Cl 0.1898 0.7500 0.5169 (multiplicity 2)  3 Ag 2.65-2.73
6 Cl 0.4343 0.7500 0.1615 (multiplicity 2)  3 K 3.11, 2 Cs 3.41

Properties
Its crystal system is monoclinic.

6.
Material: Cs2KAgCl6
Method: DFT, PBE-GGA
State: relaxed

a = 7.8307 Å, b = 7.8307 Å, c = 11.0671 Å
α = 90.00°, β = 90.00°, γ = 90.00°
Closest atoms and distances in Å follow each position.
Space group I4/mmm (No. 139)
Asymmetric unit:
1 Cs 0.0000 0.5000 0.2500 (multiplicity 4)  12 Cl 3.92
2 K 0.0000 0.0000 0.0000 (multiplicity 2)  6 Cl 3.01
3 Ag 0.0000 0.0000 0.5000 (multiplicity 2)  6 Cl 2.52-2.53
4 Cl 0.0000 0.0000 0.2720 (multiplicity 4)  1 Ag 2.52
5 Cl 0.2280 0.2280 0.5000 (multiplicity 8)  1 Ag 2.53

Properties
Its crystal system is tetragonal.

7.
Material: Cs2KAg2Cl7
Method: DFT, PBE-GGA
State: relaxed

a = 5.2150 Å, b = 5.2150 Å, c = 26.9617 Å
α = 90.00°, β = 90.00°, γ = 90.00°
Closest atoms and distances in Å follow each position.
Space group I4/mmm (No. 139)
Asymmetric unit:
1 Cs 0.0000 0.0000 0.1793 (multiplicity 4)  9 Cl 3.55-3.70
2 K 0.0000 0.0000 0.0000 (multiplicity 2)  12 Cl 3.52-3.69
3 Ag 0.0000 0.0000 0.4064 (multiplicity 4)  6 Cl 2.52-2.61
4 Cl 0.0000 0.0000 0.3109 (multiplicity 4)  1 Ag 2.57
5 Cl 0.0000 0.0000 0.5000 (multiplicity 2)  2 Ag 2.52
6 Cl 0.0000 0.5000 0.0879 (multiplicity 8)  2 Ag 2.61

Properties
Its crystal system is tetragonal.

8.
Material: CsKAg2Cl5
Method: DFT, PBE-GGA
State: relaxed

a = 5.0811 Å, b = 5.0811 Å, c = 10.2525 Å
α = 90.00°, β = 90.00°, γ = 90.00°
Closest atoms and distances in Å follow each position.
Space group P4/mmm (No. 123)
Asymmetric unit:
1 Cs 0.0000 0.0000 0.0000 (multiplicity 1)  12 Cl 3.59-4.00
2 K 0.0000 0.0000 0.5000 (multiplicity 1)  8 Cl 3.26
3 Ag 0.5000 0.5000 0.2668 (multiplicity 2)  5 Cl 2.56-2.74
4 Cl 0.0000 0.5000 0.3010 (multiplicity 4)  2 Ag 2.56
5 Cl 0.5000 0.5000 0.0000 (multiplicity 1)  2 Ag 2.74

Properties
Its crystal system is tetragonal.

9.
Material: Cs2KAg2Cl6
Method: DFT, PBE-GGA
State: relaxed

a = 14.1235 Å, b = 7.4971 Å, c = 8.4982 Å
α = 90.00°, β = 117.11°, γ = 90.00°
Closest atoms and distances in Å follow each position.
Space group C2/m (No. 12)
Asymmetric unit:
1 Cs 0.2242 0.0000 0.2031 (multiplicity 4)  5 Cl 3.51-3.63
2 K 0.0000 0.0000 0.5000 (multiplicity 2)  6 Cl 3.13-3.16
3 Ag 0.0583 0.5000 0.2132 (multiplicity 4)  3 Cl 2.42-2.45
4 Cl 0.0636 0.2517 0.8263 (multiplicity 8)  1 Ag 2.45
5 Cl 0.2491 0.0000 0.6412 (multiplicity 4)  1 Ag 2.42

Properties
Its crystal system is monoclinic.

10.
Material: Cs2KAgCl4
Method: DFT, PBE-GGA
State: relaxed

a = 4.6013 Å, b = 15.0808 Å, c = 17.4229 Å
α = 90.00°, β = 90.00°, γ = 90.00°
Closest atoms and distances in Å follow each position.
Space group Cmcm (No. 63)
Asymmetric unit:
1 Cs 0.0000 0.1399 0.0555 (multiplicity 8)  6 Cl 3.27-3.63
2 K 0.0000 0.3872 0.2500 (multiplicity 4)  6 Cl 3.31-3.63
3 Ag 0.0000 0.3324 0.7500 (multiplicity 4)  4 Cl 2.60-2.70
4 Cl 0.0000 0.0735 0.2500 (multiplicity 4)  2 Ag 2.70
5 Cl 0.0000 0.2119 0.6433 (multiplicity 8)  1 Ag 2.60
6 Cl 0.0000 0.5000 0.0000 (multiplicity 4)  4 Cs 3.27

Properties
Its crystal system is orthorhombic.

11.
Material: CsKAg2Cl4
Method: DFT, PBE-GGA
State: relaxed

a = 7.6858 Å, b = 8.0770 Å, c = 8.7080 Å
α = 90.00°, β = 90.00°, γ = 90.00°
Closest atoms and distances in Å follow each position.
Space group I222 (No. 23)
Asymmetric unit:
1 Cs 0.0000 0.0000 0.0000 (multiplicity 2)  8 Cl 3.53-3.65
2 K 0.0000 0.0000 0.5000 (multiplicity 2)  4 Cl 3.12
3 Ag 0.0000 0.5000 0.1844 (multiplicity 4)  2 Cl 2.38
4 Cl 0.2336 0.3066 0.7973 (multiplicity 8)  1 Ag 2.38

Properties
Its crystal system is orthorhombic.

12.
Material: CsKAgCl4
Method: DFT, PBE-GGA
State: relaxed

a = 7.2991 Å, b = 16.6290 Å, c = 7.3272 Å
α = 90.00°, β = 90.00°, γ = 90.00°
Closest atoms and distances in Å follow each position.
Space group Cmcm (No. 63)
Asymmetric unit:
1 Cs 0.0000 0.1044 0.2500 (multiplicity 4)  9 Cl 3.36-3.67
2 K 0.0000 0.3834 0.2500 (multiplicity 4)  9 Cl 3.40-3.69
3 Ag 0.0000 0.2537 0.7500 (multiplicity 4)  6 Cl 2.59-2.63
4 Cl 0.0000 0.0977 0.7500 (multiplicity 4)  1 Ag 2.59
5 Cl 0.0000 0.4120 0.7500 (multiplicity 4)  1 Ag 2.63
6 Cl 0.2500 0.2500 0.0000 (multiplicity 8)  2 Ag 2.59

Properties
Its crystal system is orthorhombic.

So what do the calculations give for calculated total energy? Going down the list: -0.2037; -0.1801; -0.2287; -0.2529; -0.2335; -0.2157; -0.2202; -0.2224; -0.2210; -0.2329; -0.2271; -0.2229 Ry/atom.
So what do the calculations give for total magnetic moment? Going down the list: 0.0; 1.1; 0.0; 1.1; 0.0; 2.0; 0.0; 0.0; 1.0; 0.0; 0.0; 0.0 μB per formula unit.